## SrTa2Cr (PBE-GGA)

Data for crystalline SrTa2Cr at its relaxed geometry.

Calculated values
* relative energy among the computed polymorphs: 435 meV per atom
* ΔE_f: 1.0248 eV/atom
* DOS at the Fermi energy: 1.0887 states/eV per atom
* V: 20.9 A^3/atom
* magnetization: 2.87 μB/cell
* final energy: -30.91 eV/f.u.

Cell: 3.2782 4.7676 5.3541 Å, 90.00 90.00 90.00°
With the nearest neighbours (Å) after each atom.
Fractional coordinates of all 4 atoms:
Sr: 0.0000 0.0000 0.0000  4 Cr 2.89, 4 Ta 3.14
Ta: 0.0000 0.5000 0.5000  4 Ta 2.89, 4 Cr 3.14
Ta: 0.5000 0.0000 0.5000  4 Ta 2.89, 4 Sr 3.14
Cr: 0.5000 0.5000 0.0000  4 Sr 2.89, 4 Ta 3.14